A plane-wave DFT calculation with PBE was carried out for an optimized crystal structure of RbHg3Pd.

Properties
* relative energy among the computed polymorphs: 276 meV/atom

```
data_RbHg3Pd
_chemical_formula_sum 'Rb4 Hg12 Pd4'
_symmetry_space_group_name_H-M 'I -4 m 2'
_symmetry_Int_Tables_number 119
_symmetry_space_group_name_Hall 'I -4 -2'
_cell_length_a 5.4282
_cell_length_b 5.4282
_cell_length_c 26.9697
_cell_angle_alpha 90.00
_cell_angle_beta 90.00
_cell_angle_gamma 90.00
loop_
_atom_site_label
_atom_site_fract_x
_atom_site_fract_y
_atom_site_fract_z
_atom_site_occupancy
Rb1 0.0000 0.0000 0.0000 1
Rb2 0.0000 0.5000 0.2500 1
Hg1 0.0000 0.0000 0.3501 1
Hg2 0.0000 0.2483 0.1214 1
Pd1 0.0000 0.5000 0.6315 1
```

---

A plane-wave DFT calculation with PBE was carried out for an optimized crystal structure of ThGe2I8.

Properties
* formation energy from raw total energies: -0.61 eV/atom

```
data_ThGe2I8
_chemical_formula_sum 'Th2 Ge4 I16'
_symmetry_space_group_name_H-M 'C 1 2/m 1'
_symmetry_Int_Tables_number 12
_cell_length_a 16.8210
_cell_length_b 8.7033
_cell_length_c 8.1877
_cell_angle_alpha 90.00
_cell_angle_beta 101.25
_cell_angle_gamma 90.00
loop_
_symmetry_equiv_pos_as_xyz
'x,y,z'
'-x,-y,-z'
'-x,y,-z'
'x,-y,z'
'x+1/2,y+1/2,z'
'-x+1/2,-y+1/2,-z'
'-x+1/2,y+1/2,-z'
'x+1/2,-y+1/2,z'
loop_
_atom_site_label
_atom_site_fract_x
_atom_site_fract_y
_atom_site_fract_z
_atom_site_occupancy
Th1 0.0000 0.0000 0.0000 1
Ge1 0.2361 0.0000 0.2204 1
I1 0.0959 0.0000 0.3698 1
I2 0.1229 0.2450 0.9483 1
I3 0.1617 0.5000 0.4950 1
```

---

A plane-wave DFT calculation with PBE was carried out for an optimized crystal structure of Er5Mn2I2.

Properties
* formation energy from raw total energies: -0.32 eV/atom

```
data_Er5Mn2I2
_chemical_formula_sum 'Er20 Mn8 I8'
_symmetry_space_group_name_H-M 'C m c e'
_symmetry_Int_Tables_number 64
_symmetry_space_group_name_Hall '-C 2ac 2'
_cell_length_a 17.2321
_cell_length_b 7.5208
_cell_length_c 7.5175
_cell_angle_alpha 90.00
_cell_angle_beta 90.00
_cell_angle_gamma 90.00
loop_
_atom_site_label
_atom_site_fract_x
_atom_site_fract_y
_atom_site_fract_z
_atom_site_occupancy
Er1 0.0000 0.0000 0.0000 1
Er2 0.1101 0.1613 0.3390 1
Mn1 0.0000 0.1282 0.6275 1
I1 0.2190 0.0000 0.0000 1
```

---

A plane-wave DFT calculation with PBE was carried out for an optimized crystal structure of Tb2Dy5HoMg.

Properties
* uncorrected energy: -4.169 eV/atom

```
data_Tb2Dy5HoMg
_chemical_formula_sum 'Tb8 Dy20 Ho4 Mg4'
_symmetry_space_group_name_H-M 'C m c 21'
_symmetry_Int_Tables_number 36
_cell_length_a 5.3981
_cell_length_b 20.0043
_cell_length_c 10.4652
_cell_angle_alpha 90.00
_cell_angle_beta 90.00
_cell_angle_gamma 90.00
loop_
_symmetry_equiv_pos_as_xyz
'x,y,z'
'-x,-y,z+1/2'
'-x,y,z'
'x,-y,z+1/2'
'x+1/2,y+1/2,z'
'-x+1/2,-y+1/2,z+1/2'
'-x+1/2,y+1/2,z'
'x+1/2,-y+1/2,z+1/2'
loop_
_atom_site_label
_atom_site_fract_x
_atom_site_fract_y
_atom_site_fract_z
_atom_site_occupancy
Tb1 0.0000 0.1146 0.0000 1
Tb2 0.0000 0.1147 0.4243 1
Dy1 0.0000 0.0142 0.7121 1
Dy2 0.0000 0.2893 0.0119 1
Dy3 0.0000 0.2899 0.4119 1
Dy4 0.0000 0.3825 0.7121 1
Dy5 0.0000 0.4997 0.4615 1
Ho1 0.0000 0.2058 0.7120 1
Mg1 0.0000 0.4048 0.2106 1
```

---

A plane-wave DFT calculation with PBE was carried out for an optimized crystal structure of RbIn3Ag.

Properties
* relative energy among the computed polymorphs: 1187 meV/atom

```
data_RbIn3Ag
_chemical_formula_sum 'Rb1 In3 Ag1'
_symmetry_space_group_name_H-M 'P m -3 m'
_symmetry_Int_Tables_number 221
_symmetry_space_group_name_Hall '-P 4 2 3'
_cell_length_a 6.3381
_cell_length_b 6.3381
_cell_length_c 6.3381
_cell_angle_alpha 90.00
_cell_angle_beta 90.00
_cell_angle_gamma 90.00
loop_
_atom_site_label
_atom_site_fract_x
_atom_site_fract_y
_atom_site_fract_z
_atom_site_occupancy
Rb1 0.0000 0.0000 0.0000 1
In1 0.0000 0.0000 0.5000 1
Ag1 0.5000 0.5000 0.5000 1
```

---

A plane-wave DFT calculation with PBE was carried out for an optimized crystal structure of YHf2SnCl.

Properties
* formation energy from raw total energies: 0.85 eV/atom
* relative energy among the computed polymorphs: 0 meV/atom

```
data_YHf2SnCl
_chemical_formula_sum 'Y1 Hf2 Sn1 Cl1'
_symmetry_space_group_name_H-M 'P 4/m m m'
_symmetry_Int_Tables_number 123
_symmetry_space_group_name_Hall '-P 4 2'
_cell_length_a 5.3535
_cell_length_b 5.3535
_cell_length_c 5.8979
_cell_angle_alpha 90.00
_cell_angle_beta 90.00
_cell_angle_gamma 90.00
loop_
_atom_site_label
_atom_site_fract_x
_atom_site_fract_y
_atom_site_fract_z
_atom_site_occupancy
Y1 0.0000 0.0000 0.0000 1
Hf1 0.0000 0.5000 0.5000 1
Sn1 0.0000 0.0000 0.5000 1
Cl1 0.5000 0.5000 0.0000 1
```